This record from the Alexandria database describes a relaxed structure of GaPt3. The functional is PBE.

```
data_GaPt3
_chemical_formula_sum 'Ga4 Pt12'
_cell_length_a 5.546
_cell_length_b 5.546
_cell_length_c 7.993
_cell_angle_alpha 90.00
_cell_angle_beta 90.00
_cell_angle_gamma 90.00
_symmetry_space_group_name_H-M 'P 4/m b m'
_symmetry_Int_Tables_number 127
_symmetry_space_group_name_Hall '-P 4 2ab'
loop_
_atom_site_label
_atom_site_type_symbol
_atom_site_fract_x
_atom_site_fract_y
_atom_site_fract_z
Ga1 Ga 0.000 0.500 0.236
Pt1 Pt 0.000 0.000 0.254
Pt2 Pt 0.189 0.311 0.500
Pt3 Pt 0.233 0.733 0.000
```

DOS at the Fermi energy = 2.19 states/eV/f.u.
Formation enthalpy at 0 K = -1.9 eV per formula unit